DFT (PBE-GGA) results for LiNiBiIr after structural relaxation.

```
4
Lattice="0.000 3.132 3.132 3.132 0.000 3.132 3.132 3.132 0.000" Properties=species:S:1:pos:R:3 pbc="T T T"
Bi 0.000 0.000 0.000
Ir 3.132 3.132 3.132
Ni 4.698 4.698 4.698
Li 1.566 1.566 1.566
```

Output
* total energy: -19.91 eV per formula unit
* total magnetization: 0.001 μB per atom